The following is a DFT calculation (PBE) of an optimized crystal structure of ZrZnMo.

Structure (CIF):
```
data_ZrZnMo
_cell_length_a 5.3381
_cell_length_b 5.3381
_cell_length_c 13.3412
_cell_angle_alpha 78.46
_cell_angle_beta 78.46
_cell_angle_gamma 60.00
_symmetry_space_group_name_H-M 'P 1'
_symmetry_Int_Tables_number 1
_symmetry_space_group_name_Hall 'P 1'
loop_
_atom_site_label
_atom_site_type_symbol
_atom_site_fract_x
_atom_site_fract_y
_atom_site_fract_z
Zr1 Zr 0.7361 0.7361 0.7916
Zr2 Zr 0.2639 0.2639 0.2084
Zr3 Zr 0.0421 0.0421 0.8737
Zr4 Zr 0.9579 0.9579 0.1263
Zr5 Zr 0.1789 0.1789 0.4632
Zr6 Zr 0.8211 0.8211 0.5368
Zn1 Zn 0.2118 0.7271 0.3340
Zn2 Zn 0.7271 0.2118 0.3340
Zn3 Zn 0.7271 0.7271 0.3340
Zn4 Zn 0.7882 0.2729 0.6660
Zn5 Zn 0.2729 0.7882 0.6660
Zn6 Zn 0.2729 0.2729 0.6660
Mo1 Mo 0.3887 0.3887 0.8339
Mo2 Mo 0.6113 0.6113 0.1661
Mo3 Mo 0.0000 0.5000 0.0000
Mo4 Mo 0.5000 0.0000 0.0000
Mo5 Mo 0.5000 0.5000 0.0000
Mo6 Mo 0.5000 0.5000 0.5000
```

Computed properties:
Energy of formation, meV per atom: -152
Space group: R-3m (166)


The following is a DFT calculation (PBE) of an optimized crystal structure of ZrZnMo2.

Structure (CIF):
```
data_ZrZnMo2
_cell_length_a 9.9956
_cell_length_b 9.9956
_cell_length_c 9.9956
_cell_angle_alpha 16.39
_cell_angle_beta 16.39
_cell_angle_gamma 16.39
_symmetry_space_group_name_H-M 'P 1'
_symmetry_Int_Tables_number 1
_symmetry_space_group_name_Hall 'P 1'
loop_
_atom_site_label
_atom_site_type_symbol
_atom_site_fract_x
_atom_site_fract_y
_atom_site_fract_z
Mo1 Mo 0.0050 0.0050 0.0050
Mo2 Mo 0.7514 0.7514 0.7514
Zn1 Zn 0.4956 0.4956 0.4956
Zr1 Zr 0.2480 0.2480 0.2480
```

Computed properties:
Energy of formation, meV per atom: 290
Space group: R3m (160)


The following is a DFT calculation (PBE) of an optimized crystal structure of ZrZnMo2.

Structure (CIF):
```
data_ZrZnMo2
_cell_length_a 3.4584
_cell_length_b 4.3628
_cell_length_c 4.4798
_cell_angle_alpha 90.00
_cell_angle_beta 90.00
_cell_angle_gamma 90.00
_symmetry_space_group_name_H-M 'P 1'
_symmetry_Int_Tables_number 1
_symmetry_space_group_name_Hall 'P 1'
loop_
_atom_site_label
_atom_site_type_symbol
_atom_site_fract_x
_atom_site_fract_y
_atom_site_fract_z
Mo1 Mo 0.0000 0.0000 0.0000
Mo2 Mo 0.5000 0.5000 0.0000
Zn1 Zn 0.5000 0.0000 0.5000
Zr1 Zr 0.0000 0.5000 0.5000
```

Computed properties:
Energy of formation, meV per atom: 44
Space group: Pmmm (47)


The following is a DFT calculation (PBE) of an optimized crystal structure of ZrZnMo.

Structure (CIF):
```
data_ZrZnMo
_cell_length_a 7.0737
_cell_length_b 6.9518
_cell_length_c 2.8292
_cell_angle_alpha 80.79
_cell_angle_beta 75.96
_cell_angle_gamma 23.25
_symmetry_space_group_name_H-M 'P 1'
_symmetry_Int_Tables_number 1
_symmetry_space_group_name_Hall 'P 1'
loop_
_atom_site_label
_atom_site_type_symbol
_atom_site_fract_x
_atom_site_fract_y
_atom_site_fract_z
Mo1 Mo 0.9931 0.9931 0.0069
Zn1 Zn 0.3408 0.3408 0.6592
Zr1 Zr 0.6661 0.6661 0.3339
```

Computed properties:
Energy of formation, meV per atom: 88
Space group: Fmm2 (42)


The following is a DFT calculation (PBE) of an optimized crystal structure of ZrZnMo2.

Structure (CIF):
```
data_ZrZnMo2
_cell_length_a 2.7450
_cell_length_b 2.7450
_cell_length_c 9.0190
_cell_angle_alpha 90.00
_cell_angle_beta 90.00
_cell_angle_gamma 90.00
_symmetry_space_group_name_H-M 'P 1'
_symmetry_Int_Tables_number 1
_symmetry_space_group_name_Hall 'P 1'
loop_
_atom_site_label
_atom_site_type_symbol
_atom_site_fract_x
_atom_site_fract_y
_atom_site_fract_z
Mo1 Mo 0.0000 0.0000 0.0237
Mo2 Mo 0.0000 0.0000 0.4763
Zn1 Zn 0.5000 0.5000 0.2500
Zr1 Zr 0.5000 0.5000 0.7500
```

Computed properties:
Energy of formation, meV per atom: 215
Space group: P4/mmm (123)


The following is a DFT calculation (PBE) of an optimized crystal structure of ZrZnMo2.

Structure (CIF):
```
data_ZrZnMo2
_cell_length_a 4.7990
_cell_length_b 2.7991
_cell_length_c 5.1541
_cell_angle_alpha 83.48
_cell_angle_beta 90.00
_cell_angle_gamma 90.00
_symmetry_space_group_name_H-M 'P 1'
_symmetry_Int_Tables_number 1
_symmetry_space_group_name_Hall 'P 1'
loop_
_atom_site_label
_atom_site_type_symbol
_atom_site_fract_x
_atom_site_fract_y
_atom_site_fract_z
Mo1 Mo 0.0000 0.0491 0.9889
Mo2 Mo 0.0000 0.4510 0.5111
Zn1 Zn 0.5000 0.2500 0.2500
Zr1 Zr 0.5000 0.7500 0.7500
```

Computed properties:
Energy of formation, meV per atom: 152
Space group: P2/m (10)


The following is a DFT calculation (PBE) of an optimized crystal structure of Zr2ZnMo.

Structure (CIF):
```
data_Zr2ZnMo
_cell_length_a 2.9988
_cell_length_b 2.9988
_cell_length_c 8.9448
_cell_angle_alpha 90.00
_cell_angle_beta 90.00
_cell_angle_gamma 108.11
_symmetry_space_group_name_H-M 'P 1'
_symmetry_Int_Tables_number 1
_symmetry_space_group_name_Hall 'P 1'
loop_
_atom_site_label
_atom_site_type_symbol
_atom_site_fract_x
_atom_site_fract_y
_atom_site_fract_z
Mo1 Mo 0.5000 0.5000 0.2500
Zn1 Zn 0.5000 0.5000 0.7500
Zr1 Zr 0.0000 0.0000 0.0088
Zr2 Zr 0.0000 0.0000 0.4912
```

Computed properties:
Energy of formation, meV per atom: -18
Space group: Cmmm (65)


The following is a DFT calculation (PBE) of an optimized crystal structure of Zr2ZnMo.

Structure (CIF):
```
data_Zr2ZnMo
_cell_length_a 9.9052
_cell_length_b 9.9052
_cell_length_c 9.9052
_cell_angle_alpha 17.59
_cell_angle_beta 17.59
_cell_angle_gamma 17.59
_symmetry_space_group_name_H-M 'P 1'
_symmetry_Int_Tables_number 1
_symmetry_space_group_name_Hall 'P 1'
loop_
_atom_site_label
_atom_site_type_symbol
_atom_site_fract_x
_atom_site_fract_y
_atom_site_fract_z
Mo1 Mo 0.4944 0.4944 0.4944
Zn1 Zn 0.7547 0.7547 0.7547
Zr1 Zr 0.0052 0.0052 0.0052
Zr2 Zr 0.2457 0.2457 0.2457
```

Computed properties:
Energy of formation, meV per atom: 238
Space group: R3m (160)


The following is a DFT calculation (PBE) of an optimized crystal structure of ZrZn3Mo.

Structure (CIF):
```
data_ZrZn3Mo
_cell_length_a 4.7150
_cell_length_b 4.7150
_cell_length_c 4.7150
_cell_angle_alpha 90.00
_cell_angle_beta 90.00
_cell_angle_gamma 90.00
_symmetry_space_group_name_H-M 'P 1'
_symmetry_Int_Tables_number 1
_symmetry_space_group_name_Hall 'P 1'
loop_
_atom_site_label
_atom_site_type_symbol
_atom_site_fract_x
_atom_site_fract_y
_atom_site_fract_z
Mo1 Mo 0.0000 0.0000 0.0000
Zn1 Zn 0.0000 0.5000 0.0000
Zn2 Zn 0.0000 0.0000 0.5000
Zn3 Zn 0.5000 0.0000 0.0000
Zr1 Zr 0.5000 0.5000 0.5000
```

Computed properties:
Energy of formation, meV per atom: 814
Space group: Pm-3m (221)


The following is a DFT calculation (PBE) of an optimized crystal structure of ZrZnMo2.

Structure (CIF):
```
data_ZrZnMo2
_cell_length_a 2.7714
_cell_length_b 2.7714
_cell_length_c 9.0818
_cell_angle_alpha 90.00
_cell_angle_beta 90.00
_cell_angle_gamma 104.44
_symmetry_space_group_name_H-M 'P 1'
_symmetry_Int_Tables_number 1
_symmetry_space_group_name_Hall 'P 1'
loop_
_atom_site_label
_atom_site_type_symbol
_atom_site_fract_x
_atom_site_fract_y
_atom_site_fract_z
Mo1 Mo 0.0000 0.0000 0.0168
Mo2 Mo 0.0000 0.0000 0.4832
Zn1 Zn 0.5000 0.5000 0.2500
Zr1 Zr 0.5000 0.5000 0.7500
```

Computed properties:
Energy of formation, meV per atom: 171
Space group: Cmmm (65)


The following is a DFT calculation (PBE) of an optimized crystal structure of ZrZn4Mo.

Structure (CIF):
```
data_ZrZn4Mo
_cell_length_a 5.0699
_cell_length_b 5.0699
_cell_length_c 5.0699
_cell_angle_alpha 60.00
_cell_angle_beta 60.00
_cell_angle_gamma 60.00
_symmetry_space_group_name_H-M 'P 1'
_symmetry_Int_Tables_number 1
_symmetry_space_group_name_Hall 'P 1'
loop_
_atom_site_label
_atom_site_type_symbol
_atom_site_fract_x
_atom_site_fract_y
_atom_site_fract_z
Mo1 Mo 0.0000 0.0000 0.0000
Zn1 Zn 0.1228 0.6257 0.6257
Zn2 Zn 0.6257 0.6257 0.6257
Zn3 Zn 0.6257 0.1228 0.6257
Zn4 Zn 0.6257 0.6257 0.1228
Zr1 Zr 0.2500 0.2500 0.2500
```

Computed properties:
Energy of formation, meV per atom: -169
Space group: F-43m (216)


The following is a DFT calculation (PBE) of an optimized crystal structure of Zr6ZnMo.

Structure (CIF):
```
data_Zr6ZnMo
_cell_length_a 8.3630
_cell_length_b 8.3630
_cell_length_c 8.3630
_cell_angle_alpha 147.56
_cell_angle_beta 147.56
_cell_angle_gamma 46.53
_symmetry_space_group_name_H-M 'P 1'
_symmetry_Int_Tables_number 1
_symmetry_space_group_name_Hall 'P 1'
loop_
_atom_site_label
_atom_site_type_symbol
_atom_site_fract_x
_atom_site_fract_y
_atom_site_fract_z
Zr1 Zr 0.2521 0.2521 0.0000
Zr2 Zr 0.8891 0.3891 0.5000
Zr3 Zr 0.3891 0.8891 0.5000
Zr4 Zr 0.1109 0.6109 0.5000
Zr5 Zr 0.7479 0.7479 0.0000
Zr6 Zr 0.6109 0.1109 0.5000
Zn1 Zn 0.0000 0.0000 0.0000
Mo1 Mo 0.5000 0.5000 0.0000
```

Computed properties:
Energy of formation, meV per atom: -75
Space group: I4/mmm (139)


The following is a DFT calculation (PBE) of an optimized crystal structure of ZrZnMo2.

Structure (CIF):
```
data_ZrZnMo2
_cell_length_a 2.7987
_cell_length_b 2.7987
_cell_length_c 9.1811
_cell_angle_alpha 90.00
_cell_angle_beta 90.00
_cell_angle_gamma 108.07
_symmetry_space_group_name_H-M 'P 1'
_symmetry_Int_Tables_number 1
_symmetry_space_group_name_Hall 'P 1'
loop_
_atom_site_label
_atom_site_type_symbol
_atom_site_fract_x
_atom_site_fract_y
_atom_site_fract_z
Mo1 Mo 0.0000 0.0000 0.0155
Mo2 Mo 0.5000 0.5000 0.2463
Zn1 Zn 0.0000 0.0000 0.4851
Zr1 Zr 0.5000 0.5000 0.7531
```

Computed properties:
Energy of formation, meV per atom: 74
Space group: Cmm2 (35)


The following is a DFT calculation (PBE) of an optimized crystal structure of Zr2ZnMo.

Structure (CIF):
```
data_Zr2ZnMo
_cell_length_a 4.0186
_cell_length_b 4.0186
_cell_length_c 10.3113
_cell_angle_alpha 78.76
_cell_angle_beta 78.76
_cell_angle_gamma 90.00
_symmetry_space_group_name_H-M 'P 1'
_symmetry_Int_Tables_number 1
_symmetry_space_group_name_Hall 'P 1'
loop_
_atom_site_label
_atom_site_type_symbol
_atom_site_fract_x
_atom_site_fract_y
_atom_site_fract_z
Mo1 Mo 0.0000 0.0000 0.0000
Mo2 Mo 0.7500 0.2500 0.5000
Zn1 Zn 0.5000 0.5000 0.0000
Zn2 Zn 0.2500 0.7500 0.5000
Zr1 Zr 0.6327 0.1250 0.2500
Zr2 Zr 0.1173 0.6250 0.2500
Zr3 Zr 0.3750 0.3673 0.7500
Zr4 Zr 0.8750 0.8827 0.7500
```

Computed properties:
Energy of formation, meV per atom: 560
Space group: I-42d (122)


The following is a DFT calculation (PBE) of an optimized crystal structure of Zr4ZnMo.

Structure (CIF):
```
data_Zr4ZnMo
_cell_length_a 4.7661
_cell_length_b 4.7630
_cell_length_c 7.5380
_cell_angle_alpha 71.52
_cell_angle_beta 71.57
_cell_angle_gamma 59.98
_symmetry_space_group_name_H-M 'P 1'
_symmetry_Int_Tables_number 1
_symmetry_space_group_name_Hall 'P 1'
loop_
_atom_site_label
_atom_site_type_symbol
_atom_site_fract_x
_atom_site_fract_y
_atom_site_fract_z
Zr1 Zr 0.6319 0.6316 0.1046
Zr2 Zr 0.3681 0.3684 0.8954
Zr3 Zr 0.1250 0.1252 0.6247
Zr4 Zr 0.8750 0.8748 0.3753
Zn1 Zn 0.5000 0.5000 0.5000
Mo1 Mo 0.0000 0.0000 0.0000
```

Computed properties:
Energy of formation, meV per atom: 301
Space group: C2/m (12)


The following is a DFT calculation (PBE) of an optimized crystal structure of Zr5Mo.

Structure (CIF):
```
data_Zr5Mo
_cell_length_a 3.4094
_cell_length_b 5.8058
_cell_length_c 7.3363
_cell_angle_alpha 71.06
_cell_angle_beta 90.00
_cell_angle_gamma 72.93
_symmetry_space_group_name_H-M 'P 1'
_symmetry_Int_Tables_number 1
_symmetry_space_group_name_Hall 'P 1'
loop_
_atom_site_label
_atom_site_type_symbol
_atom_site_fract_x
_atom_site_fract_y
_atom_site_fract_z
Mo1 Mo 0.9735 0.0531 0.9455
Zr1 Zr 0.6191 0.7617 0.7985
Zr2 Zr 0.3073 0.3854 0.6356
Zr3 Zr 0.9706 0.0589 0.4434
Zr4 Zr 0.6377 0.7245 0.2545
Zr5 Zr 0.3251 0.3498 0.0891
```

Computed properties:
Energy of formation, meV per atom: 1
Space group: Cm (8)


The following is a DFT calculation (PBE) of an optimized crystal structure of Zr3Mo.

Structure (CIF):
```
data_Zr3Mo
_cell_length_a 3.0349
_cell_length_b 5.6776
_cell_length_c 5.6776
_cell_angle_alpha 116.90
_cell_angle_beta 79.74
_cell_angle_gamma 79.74
_symmetry_space_group_name_H-M 'P 1'
_symmetry_Int_Tables_number 1
_symmetry_space_group_name_Hall 'P 1'
loop_
_atom_site_label
_atom_site_type_symbol
_atom_site_fract_x
_atom_site_fract_y
_atom_site_fract_z
Mo1 Mo 0.0000 0.0000 0.0000
Zr1 Zr 0.0000 0.5000 0.5000
Zr2 Zr 0.5000 0.0000 0.5000
Zr3 Zr 0.5000 0.5000 0.0000
```

Computed properties:
Energy of formation, meV per atom: 128
Space group: R-3m (166)


The following is a DFT calculation (PBE) of an optimized crystal structure of ZrMo7.

Structure (CIF):
```
data_ZrMo7
_cell_length_a 5.7460
_cell_length_b 5.7460
_cell_length_c 5.7460
_cell_angle_alpha 60.00
_cell_angle_beta 60.00
_cell_angle_gamma 60.00
_symmetry_space_group_name_H-M 'P 1'
_symmetry_Int_Tables_number 1
_symmetry_space_group_name_Hall 'P 1'
loop_
_atom_site_label
_atom_site_type_symbol
_atom_site_fract_x
_atom_site_fract_y
_atom_site_fract_z
Zr1 Zr 0.0000 0.0000 0.0000
Mo1 Mo 0.0000 0.0000 0.5000
Mo2 Mo 0.5000 0.0000 0.5000
Mo3 Mo 0.0000 0.5000 0.5000
Mo4 Mo 0.5000 0.5000 0.0000
Mo5 Mo 0.0000 0.5000 0.0000
Mo6 Mo 0.5000 0.0000 0.0000
Mo7 Mo 0.5000 0.5000 0.5000
```

Computed properties:
Energy of formation, meV per atom: 451
Space group: Fm-3m (225)


The following is a DFT calculation (PBE) of an optimized crystal structure of ZrMo5.

Structure (CIF):
```
data_ZrMo5
_cell_length_a 3.2119
_cell_length_b 7.0302
_cell_length_c 4.5568
_cell_angle_alpha 90.00
_cell_angle_beta 90.00
_cell_angle_gamma 76.80
_symmetry_space_group_name_H-M 'P 1'
_symmetry_Int_Tables_number 1
_symmetry_space_group_name_Hall 'P 1'
loop_
_atom_site_label
_atom_site_type_symbol
_atom_site_fract_x
_atom_site_fract_y
_atom_site_fract_z
Mo1 Mo 0.0281 0.9438 0.0000
Mo2 Mo 0.6941 0.6117 0.0000
Mo3 Mo 0.3611 0.2778 0.0000
Mo4 Mo 0.5347 0.9305 0.5000
Mo5 Mo 0.1875 0.6250 0.5000
Zr1 Zr 0.8611 0.2778 0.5000
```

Computed properties:
Energy of formation, meV per atom: -27
Space group: Cmmm (65)


The following is a DFT calculation (PBE) of an optimized crystal structure of Zr3Mo5.

Structure (CIF):
```
data_Zr3Mo5
_cell_length_a 5.7405
_cell_length_b 5.7405
_cell_length_c 4.6058
_cell_angle_alpha 90.00
_cell_angle_beta 90.00
_cell_angle_gamma 109.58
_symmetry_space_group_name_H-M 'P 1'
_symmetry_Int_Tables_number 1
_symmetry_space_group_name_Hall 'P 1'
loop_
_atom_site_label
_atom_site_type_symbol
_atom_site_fract_x
_atom_site_fract_y
_atom_site_fract_z
Zr1 Zr 0.5000 0.5000 0.0000
Zr2 Zr 0.7498 0.2502 0.5000
Zr3 Zr 0.2502 0.7498 0.5000
Mo1 Mo 0.0000 0.0000 0.0000
Mo2 Mo 0.5000 0.0000 0.0000
Mo3 Mo 0.0000 0.5000 0.0000
Mo4 Mo 0.7658 0.7658 0.5000
Mo5 Mo 0.2342 0.2342 0.5000
```

Computed properties:
Energy of formation, meV per atom: 46
Space group: Cmmm (65)